A plane-wave DFT calculation with PBE-GGA was carried out for a relaxed structure of Ho2CCl2. Values from VASP.

Magnetization (μB/f.u.): 0.011
Uncorrected energy (eV/atom): -5.954

```
&SYSTEM
  ibrav = 0, nat = 5, ntyp = 3
/
ATOMIC_SPECIES
Ho 164.93 Ho.upf
C 12.01 C.upf
Cl 35.45 Cl.upf
CELL_PARAMETERS angstrom
1.845 1.065 9.582
-1.845 1.065 9.582
0.000 -2.130 9.582
ATOMIC_POSITIONS crystal
Ho 0.120 0.120 0.120
Ho 0.880 0.880 0.880
C 0.500 0.500 0.500
Cl 0.274 0.274 0.274
Cl 0.726 0.726 0.726
```